Compound: Rb2NdCrO4
Source: the Alexandria database
Functional: PBE with a Hubbard U
Structure: relaxed

## Properties
The value obtained for the total energy is -0.230 hartree per atom. The value obtained for the volume is 132 Å³ per cell.

Cell: 3.4532 5.8877 6.7961 Å, 107.29 90.00 90.00°
Positions (direct):
Cr: 0.0000 0.0000 0.0000
O: 0.5000 0.1983 0.1696
O: 0.0000 0.7572 0.1749
O: 0.5000 0.8017 0.8304
O: 0.0000 0.2428 0.8251
Nd: 0.5000 0.5000 0.0000
Rb: 0.5000 0.0000 0.5000
Rb: 0.0000 0.5000 0.5000